## HfScCS (GGA-PBE)

Data for an optimized crystal structure of HfScCS.

```
4
Lattice="1.701 0.982 6.083 -1.701 0.982 6.083 0.000 -1.964 6.083" Properties=species:S:1:pos:R:3 pbc="T T T"
Hf 0.000 0.000 0.000
Sc 0.000 0.000 14.623
C 0.000 0.000 7.201
S 0.000 0.000 10.368
```

Computed properties:
Symmetry ... No. 160
Crystal system ... trigonal


## HfCSe2S (GGA-PBE)

Data for an optimized crystal structure of HfCSe2S.

```
5
Lattice="5.027 0.000 0.000 0.000 5.027 0.000 0.000 0.000 3.443" Properties=species:S:1:pos:R:3 pbc="T T T"
Hf 0.000 0.000 0.000
C 2.514 2.514 0.000
Se 0.000 2.514 1.722
Se 2.514 0.000 1.722
S 2.514 2.514 1.722
```

Computed properties:
Symmetry ... No. 123
Crystal system ... tetragonal


## HfThCS (GGA-PBE)

Data for an optimized crystal structure of HfThCS.

```
4
Lattice="1.770 1.022 6.644 -1.770 1.022 6.644 0.000 -2.044 6.644" Properties=species:S:1:pos:R:3 pbc="T T T"
Hf 0.000 0.000 0.000
Th 0.000 0.000 3.909
C 0.000 0.000 12.191
S 0.000 0.000 8.364
```

Computed properties:
Symmetry ... No. 160
Crystal system ... trigonal


Quick rundown of formation energy without anion corrections, same order as above: -503, 423, -455 kJ/mol of formula units